# Ho5Ge10Ir4 | the Alexandria database | meta-GGA SCAN | PBEsol geometry
data_Ho5Ge10Ir4
_symmetry_space_group_name_H-M 'P 4/m b m'
_symmetry_Int_Tables_number 127
_symmetry_space_group_name_Hall '-P 4 2ab'
_cell_length_a 12.842
_cell_length_b 12.842
_cell_length_c 4.272
_cell_angle_alpha 90.00
_cell_angle_beta 90.00
_cell_angle_gamma 90.00
loop_
_atom_site_label
_atom_site_fract_x
_atom_site_fract_y
_atom_site_fract_z
Ho1 0.000 0.000 0.000
Ho2 0.116 0.384 0.500
Ho3 0.173 0.673 0.500
Ge1 0.004 0.844 0.500
Ge2 0.067 0.567 0.000
Ge3 0.164 0.199 0.000
Ir1 0.019 0.753 0.000
# E_tot = -737.7 eV/f.u.
# Formation energy from the elements = -0.92 eV per atom

=====

# Zr2TaTe | the Alexandria database | meta-GGA SCAN | PBEsol geometry
data_Zr2TaTe
_symmetry_space_group_name_H-M 'P 4/m m m'
_symmetry_Int_Tables_number 123
_symmetry_space_group_name_Hall '-P 4 2'
_cell_length_a 3.614
_cell_length_b 3.614
_cell_length_c 6.318
_cell_angle_alpha 90.00
_cell_angle_beta 90.00
_cell_angle_gamma 90.00
loop_
_atom_site_label
_atom_site_fract_x
_atom_site_fract_y
_atom_site_fract_z
Zr1 0.000 0.000 0.242
Ta1 0.500 0.500 0.000
Te1 0.500 0.500 0.500
# Formation energy without anion corrections = -0.36 eV/atom
# E_tot = -166.7 eV/f.u.

=====

# CaMgSe2 | the Alexandria database | meta-GGA SCAN | PBEsol geometry
data_CaMgSe2
_symmetry_space_group_name_H-M 'I -4 2 d'
_symmetry_Int_Tables_number 122
_symmetry_space_group_name_Hall 'I -4 2bw'
_cell_length_a 6.992
_cell_length_b 6.992
_cell_length_c 8.678
_cell_angle_alpha 90.00
_cell_angle_beta 90.00
_cell_angle_gamma 90.00
loop_
_atom_site_label
_atom_site_fract_x
_atom_site_fract_y
_atom_site_fract_z
Ca1 0.000 0.000 0.000
Mg1 0.000 0.000 0.500
Se1 0.219 0.250 0.625
# Formation energy without anion corrections = -1.69 eV/atom
# E_tot = -61.6 eV/f.u.

=====

# Sr2GePt2 | the Alexandria database | meta-GGA SCAN | PBEsol geometry
data_Sr2GePt2
_symmetry_space_group_name_H-M 'I 4/m m m'
_symmetry_Int_Tables_number 139
_symmetry_space_group_name_Hall '-I 4 2'
_cell_length_a 3.702
_cell_length_b 3.702
_cell_length_c 18.238
_cell_angle_alpha 90.00
_cell_angle_beta 90.00
_cell_angle_gamma 90.00
loop_
_atom_site_label
_atom_site_fract_x
_atom_site_fract_y
_atom_site_fract_z
Sr1 0.000 0.000 0.113
Ge1 0.000 0.000 0.500
Pt1 0.000 0.500 0.250
# E_tot = -206.8 eV/f.u.
# Formation energy from the elements = -0.56 eV per atom

=====

# RbLi2ReI | the Alexandria database | meta-GGA SCAN | PBEsol geometry
data_RbLi2ReI
_symmetry_space_group_name_H-M 'P 4/m m m'
_symmetry_Int_Tables_number 123
_symmetry_space_group_name_Hall '-P 4 2'
_cell_length_a 5.886
_cell_length_b 5.886
_cell_length_c 6.209
_cell_angle_alpha 90.00
_cell_angle_beta 90.00
_cell_angle_gamma 90.00
loop_
_atom_site_label
_atom_site_fract_x
_atom_site_fract_y
_atom_site_fract_z
Rb1 0.000 0.000 0.000
Li1 0.000 0.500 0.000
Re1 0.500 0.500 0.500
I1 0.000 0.000 0.500
# Formation energy without anion corrections = 1.65 eV/atom
# E_tot = -125.1 eV/f.u.

=====

# CrCuPb2 | the Alexandria database | meta-GGA SCAN | PBEsol geometry
data_CrCuPb2
_symmetry_space_group_name_H-M 'I m m m'
_symmetry_Int_Tables_number 71
_symmetry_space_group_name_Hall '-I 2 2'
_cell_length_a 4.817
_cell_length_b 4.945
_cell_length_c 6.887
_cell_angle_alpha 90.00
_cell_angle_beta 90.00
_cell_angle_gamma 90.00
loop_
_atom_site_label
_atom_site_fract_x
_atom_site_fract_y
_atom_site_fract_z
Cr1 0.000 0.000 0.000
Cu1 0.000 0.000 0.500
Pb1 0.000 0.500 0.249
# E_tot = -183.8 eV/f.u.
# Polymorph energy (0 for the lowest one) = 0 meV/atom
# Formation energy from the elements = 0.33 eV per atom

=====

> Which formula does entry 1 have?

Ho5Ge10Ir4

=====

> Which of these has the lowest E_tot?

Ho5Ge10Ir4